(1)
Compound: V2CrCl
Source: Alexandria
Functional: GGA-PBE
Structure: relaxed

Cell lengths 6.3604, 6.3604, 5.5208 Å; angles 90.00, 90.00, 90.00 degrees
Positions (direct):
V (0.2318, 0.2500, 0.1250)
V (0.2500, 0.7318, 0.3750)
V (0.2500, 0.7682, 0.8750)
V (0.2682, 0.2500, 0.6250)
V (0.7318, 0.7500, 0.6250)
V (0.7500, 0.2318, 0.8750)
V (0.7500, 0.2682, 0.3750)
V (0.7682, 0.7500, 0.1250)
Cr (0.0000, 0.0000, 0.5000)
Cr (0.0000, 0.5000, 0.7500)
Cr (0.5000, 0.0000, 0.2500)
Cr (0.5000, 0.5000, 0.0000)
Cl (0.0000, 0.0000, 0.0000)
Cl (0.0000, 0.5000, 0.2500)
Cl (0.5000, 0.0000, 0.7500)
Cl (0.5000, 0.5000, 0.5000)

Computed properties:
Raw formation energy = 704 meV per atom
Polymorph energy (0 for the lowest one) = 0.0 meV/atom
Theoretical density = 5.63 g cm⁻³
Final energy = -6.722 eV per atom



(2)
Compound: ZrVRu2
Source: Alexandria
Functional: GGA-PBE
Structure: relaxed

Cell lengths 6.9199, 6.9199, 5.6512 Å; angles 90.00, 90.00, 90.00 degrees
Positions (direct):
Zr (0.0000, 0.0000, 0.0000)
Zr (0.0000, 0.5000, 0.2500)
Zr (0.5000, 0.0000, 0.7500)
Zr (0.5000, 0.5000, 0.5000)
V (0.0000, 0.0000, 0.5000)
V (0.0000, 0.5000, 0.7500)
V (0.5000, 0.0000, 0.2500)
V (0.5000, 0.5000, 0.0000)
Ru (0.2060, 0.2500, 0.6250)
Ru (0.2500, 0.7060, 0.8750)
Ru (0.2500, 0.7940, 0.3750)
Ru (0.2940, 0.2500, 0.1250)
Ru (0.7060, 0.7500, 0.1250)
Ru (0.7500, 0.2060, 0.3750)
Ru (0.7500, 0.2940, 0.8750)
Ru (0.7940, 0.7500, 0.6250)

Computed properties:
Theoretical density = 8.45 g cm⁻³
Final energy = -8.937 eV per atom
E_form = 117.6 meV per atom



> Among the records above, which one has the highest theoretical density?

ZrVRu2